PuBeW | GGA-PBE | relaxed

The value obtained for the uncorrected energy is -8.795 eV per atom. As for the spin magnetization: 15.8 μB per cell. The calculated density comes out at 12902 kg/m3.

The space group is F-43m (No. 216) and the conventional cell measures 6.081, 6.081 and 6.081 Å, with angles of 90.00, 90.00 and 90.00 degrees. The inequivalent atoms are Pu at (0.000, 0.000, 0.000), Be at (0.250, 0.250, 0.750) and W at (0.250, 0.250, 0.250).

YPuBe | GGA-PBE | relaxed

The value obtained for the uncorrected energy is -7.691 eV per atom. As for the spin magnetization: 24.8 μB per cell. The calculated density comes out at 7584 kg/m3.

The space group is F-43m (No. 216) and the conventional cell measures 6.690, 6.690 and 6.690 Å, with angles of 90.00, 90.00 and 90.00 degrees. The inequivalent atoms are Y at (0.000, 0.000, 0.000), Pu at (0.000, 0.000, 0.500) and Be at (0.250, 0.250, 0.750).

PuZrBe | GGA-PBE | relaxed

The value obtained for the uncorrected energy is -8.395 eV per atom. As for the spin magnetization: 23.8 μB per cell. The calculated density comes out at 9014 kg/m3.

The space group is F-43m (No. 216) and the conventional cell measures 6.330, 6.330 and 6.330 Å, with angles of 90.00, 90.00 and 90.00 degrees. The inequivalent atoms are Pu at (0.000, 0.000, 0.000), Zr at (0.000, 0.000, 0.500) and Be at (0.250, 0.250, 0.250).

RbSmBeSe3 | GGA-PBE | relaxed

The value obtained for the uncorrected energy is -4.701 eV per atom. As for the spin magnetization: 0.0 μB per cell. The calculated density comes out at 4539 kg/m3.

The space group is Cmcm (No. 63) and the conventional cell measures 4.100, 15.462 and 11.120 Å, with angles of 90.00, 90.00 and 90.00 degrees. The inequivalent atoms are Rb at (0.000, 0.243, 0.250), Sm at (0.000, 0.500, 0.000), Be at (0.000, 0.038, 0.750), Se at (0.000, 0.118, 0.583) and Se at (0.000, 0.446, 0.750).

RbTmBeSe3 | GGA-PBE | relaxed

The value obtained for the uncorrected energy is -4.682 eV per atom. As for the spin magnetization: 0.0 μB per cell. The calculated density comes out at 5007 kg/m3.

The space group is Cmcm (No. 63) and the conventional cell measures 3.997, 15.462 and 10.739 Å, with angles of 90.00, 90.00 and 90.00 degrees. The inequivalent atoms are Rb at (0.000, 0.243, 0.250), Tm at (0.000, 0.500, 0.000), Be at (0.000, 0.037, 0.750), Se at (0.000, 0.117, 0.575) and Se at (0.000, 0.447, 0.750).

RbZrBeSe3 | GGA-PBE | relaxed

The value obtained for the uncorrected energy is -5.055 eV per atom. As for the spin magnetization: 2.1 μB per cell. The calculated density comes out at 4549 kg/m3.

The space group is Cmcm (No. 63) and the conventional cell measures 3.796, 15.662 and 10.377 Å, with angles of 90.00, 90.00 and 90.00 degrees. The inequivalent atoms are Rb at (0.000, 0.240, 0.250), Zr at (0.000, 0.500, 0.000), Be at (0.000, 0.038, 0.750), Se at (0.000, 0.118, 0.570) and Se at (0.000, 0.449, 0.750).

Rb2Ta2Be | GGA-PBE | relaxed

The value obtained for the uncorrected energy is -4.168 eV per atom. As for the spin magnetization: 16.6 μB per cell. The calculated density comes out at 6276 kg/m3.

The space group is Fddd (No. 70, origin choice 2) and the conventional cell measures 9.109, 9.122 and 13.804 Å, with angles of 90.00, 90.00 and 90.00 degrees. The inequivalent atoms are Rb at (0.125, 0.125, 0.254), Ta at (0.000, 0.000, 0.500) and Be at (0.125, 0.125, 0.625).

RbBeTc | GGA-PBE | relaxed

The value obtained for the uncorrected energy is -2.346 eV per atom. As for the spin magnetization: 13.6 μB per cell. The calculated density comes out at 3520 kg/m3.

The space group is F-43m (No. 216) and the conventional cell measures 7.135, 7.135 and 7.135 Å, with angles of 90.00, 90.00 and 90.00 degrees. The inequivalent atoms are Rb at (0.000, 0.000, 0.000), Be at (0.250, 0.250, 0.750) and Tc at (0.250, 0.250, 0.250).

RbBeTc | GGA-PBE | relaxed

The value obtained for the uncorrected energy is -3.015 eV per atom. As for the spin magnetization: 8.4 μB per cell. The calculated density comes out at 4806 kg/m3.

The space group is F-43m (No. 216) and the conventional cell measures 6.431, 6.431 and 6.431 Å, with angles of 90.00, 90.00 and 90.00 degrees. The inequivalent atoms are Rb at (0.000, 0.000, 0.000), Be at (0.250, 0.250, 0.250) and Tc at (0.000, 0.000, 0.500).

RbBeTc | GGA-PBE | relaxed

The value obtained for the uncorrected energy is -2.966 eV per atom. As for the spin magnetization: 8.0 μB per cell. The calculated density comes out at 4476 kg/m3.

The space group is F-43m (No. 216) and the conventional cell measures 6.586, 6.586 and 6.586 Å, with angles of 90.00, 90.00 and 90.00 degrees. The inequivalent atoms are Rb at (0.000, 0.000, 0.000), Be at (0.000, 0.000, 0.500) and Tc at (0.250, 0.250, 0.750).

RbZrBeTe3 | GGA-PBE | relaxed

The value obtained for the uncorrected energy is -4.493 eV per atom. As for the spin magnetization: 2.0 μB per cell. The calculated density comes out at 4989 kg/m3.

The space group is Cmcm (No. 63) and the conventional cell measures 4.068, 16.735 and 11.117 Å, with angles of 90.00, 90.00 and 90.00 degrees. The inequivalent atoms are Rb at (0.000, 0.242, 0.250), Zr at (0.000, 0.500, 0.000), Be at (0.000, 0.037, 0.750), Te at (0.000, 0.121, 0.566) and Te at (0.000, 0.445, 0.750).

RbTmBe | GGA-PBE | relaxed

The value obtained for the uncorrected energy is -1.683 eV per atom. As for the spin magnetization: 0.1 μB per cell. The calculated density comes out at 4490 kg/m3.

The space group is F-43m (No. 216) and the conventional cell measures 7.304, 7.304 and 7.304 Å, with angles of 90.00, 90.00 and 90.00 degrees. The inequivalent atoms are Rb at (0.000, 0.000, 0.000), Tm at (0.250, 0.250, 0.750) and Be at (0.000, 0.000, 0.500).